Model w:
Material: Gd2PuTe
Method: DFT, PBE-GGA
State: optimized geometry

```
data_Gd2PuTe
_chemical_formula_sum 'Gd2 Pu1 Te1'
_space_group_name_H-M_alt 'P 1'
_space_group_IT_number 1
_space_group_name_Hall 'P 1'
_cell_length_a 4.8570
_cell_length_b 4.8570
_cell_length_c 4.5418
_cell_angle_alpha 90.00
_cell_angle_beta 90.00
_cell_angle_gamma 90.00
loop_
_atom_site_label
_atom_site_type_symbol
_atom_site_fract_x
_atom_site_fract_y
_atom_site_fract_z
Gd1 Gd 0.0000 0.5000 0.0000
Gd2 Gd 0.5000 0.0000 0.0000
Pu1 Pu 0.0000 0.0000 0.5000
Te1 Te 0.5000 0.5000 0.5000
```

Output
As for the space group: No. 123.

---

Model x:
Material: Gd2PuTe
Method: DFT, PBE-GGA
State: optimized geometry

```
data_Gd2PuTe
_chemical_formula_sum 'Gd2 Pu1 Te1'
_space_group_name_H-M_alt 'P 1'
_space_group_IT_number 1
_space_group_name_Hall 'P 1'
_cell_length_a 10.1405
_cell_length_b 10.1405
_cell_length_c 10.1405
_cell_angle_alpha 21.86
_cell_angle_beta 21.86
_cell_angle_gamma 21.86
loop_
_atom_site_label
_atom_site_type_symbol
_atom_site_fract_x
_atom_site_fract_y
_atom_site_fract_z
Gd1 Gd 0.2399 0.2399 0.2399
Gd2 Gd 0.7601 0.7601 0.7601
Pu1 Pu 0.0000 0.0000 0.0000
Te1 Te 0.5000 0.5000 0.5000
```

Output
As for the space group: No. 166.

---

What are the relative energies? In meV per atom: model w 0; model x 29.

---

Model w:
Material: GdPu2Tl
Method: DFT, PBE-GGA
State: optimized geometry

```
data_GdPu2Tl
_chemical_formula_sum 'Gd1 Pu2 Tl1'
_space_group_name_H-M_alt 'P 1'
_space_group_IT_number 1
_space_group_name_Hall 'P 1'
_cell_length_a 5.3995
_cell_length_b 5.3995
_cell_length_c 5.3995
_cell_angle_alpha 60.00
_cell_angle_beta 60.00
_cell_angle_gamma 60.00
loop_
_atom_site_label
_atom_site_type_symbol
_atom_site_fract_x
_atom_site_fract_y
_atom_site_fract_z
Gd1 Gd 0.0000 0.0000 0.0000
Pu1 Pu 0.2500 0.2500 0.2500
Pu2 Pu 0.7500 0.7500 0.7500
Tl1 Tl 0.5000 0.5000 0.5000
```

Output
As for the space group: No. 225.

---

Model x:
Material: GdPu2Tl
Method: DFT, PBE-GGA
State: optimized geometry

```
data_GdPu2Tl
_chemical_formula_sum 'Gd1 Pu2 Tl1'
_space_group_name_H-M_alt 'P 1'
_space_group_IT_number 1
_space_group_name_Hall 'P 1'
_cell_length_a 3.3088
_cell_length_b 3.3088
_cell_length_c 10.3028
_cell_angle_alpha 90.00
_cell_angle_beta 90.00
_cell_angle_gamma 90.00
loop_
_atom_site_label
_atom_site_type_symbol
_atom_site_fract_x
_atom_site_fract_y
_atom_site_fract_z
Gd1 Gd 0.0000 0.0000 0.0000
Pu1 Pu 0.5000 0.5000 0.2624
Pu2 Pu 0.5000 0.5000 0.7376
Tl1 Tl 0.0000 0.0000 0.5000
```

Output
As for the space group: No. 123.

---

What are the relative energies? In meV per atom: model w 74; model x 0.

---

Model w:
Material: GdTmPu2
Method: DFT, PBE-GGA
State: optimized geometry

```
data_GdTmPu2
_chemical_formula_sum 'Gd1 Tm1 Pu2'
_space_group_name_H-M_alt 'P 1'
_space_group_IT_number 1
_space_group_name_Hall 'P 1'
_cell_length_a 5.4851
_cell_length_b 5.4851
_cell_length_c 5.4851
_cell_angle_alpha 60.00
_cell_angle_beta 60.00
_cell_angle_gamma 60.00
loop_
_atom_site_label
_atom_site_type_symbol
_atom_site_fract_x
_atom_site_fract_y
_atom_site_fract_z
Gd1 Gd 0.0000 0.0000 0.0000
Tm1 Tm 0.5000 0.5000 0.5000
Pu1 Pu 0.2500 0.2500 0.2500
Pu2 Pu 0.7500 0.7500 0.7500
```

Output
As for the space group: No. 225.

---

Model x:
Material: GdTmPu2
Method: DFT, PBE-GGA
State: optimized geometry

```
data_GdTmPu2
_chemical_formula_sum 'Gd1 Tm1 Pu2'
_space_group_name_H-M_alt 'P 1'
_space_group_IT_number 1
_space_group_name_Hall 'P 1'
_cell_length_a 3.4085
_cell_length_b 3.4085
_cell_length_c 10.0412
_cell_angle_alpha 90.00
_cell_angle_beta 90.00
_cell_angle_gamma 90.00
loop_
_atom_site_label
_atom_site_type_symbol
_atom_site_fract_x
_atom_site_fract_y
_atom_site_fract_z
Gd1 Gd 0.0000 0.0000 0.0000
Tm1 Tm 0.0000 0.0000 0.5000
Pu1 Pu 0.5000 0.5000 0.2538
Pu2 Pu 0.5000 0.5000 0.7462
```

Output
As for the space group: No. 123.

---

What are the relative energies? In meV per atom: model w 100; model x 0.

---

Model w:
Material: GdYPu2
Method: DFT, PBE-GGA
State: optimized geometry

```
data_GdYPu2
_chemical_formula_sum 'Gd1 Y1 Pu2'
_space_group_name_H-M_alt 'P 1'
_space_group_IT_number 1
_space_group_name_Hall 'P 1'
_cell_length_a 3.4324
_cell_length_b 3.4324
_cell_length_c 10.1094
_cell_angle_alpha 90.00
_cell_angle_beta 90.00
_cell_angle_gamma 90.00
loop_
_atom_site_label
_atom_site_type_symbol
_atom_site_fract_x
_atom_site_fract_y
_atom_site_fract_z
Gd1 Gd 0.0000 0.0000 0.0000
Y1 Y 0.0000 0.0000 0.5000
Pu1 Pu 0.5000 0.5000 0.2498
Pu2 Pu 0.5000 0.5000 0.7502
```

Output
As for the space group: No. 123.

---

Model x:
Material: GdYPu2
Method: DFT, PBE-GGA
State: optimized geometry

```
data_GdYPu2
_chemical_formula_sum 'Gd1 Y1 Pu2'
_space_group_name_H-M_alt 'P 1'
_space_group_IT_number 1
_space_group_name_Hall 'P 1'
_cell_length_a 5.5173
_cell_length_b 5.5173
_cell_length_c 5.5173
_cell_angle_alpha 60.00
_cell_angle_beta 60.00
_cell_angle_gamma 60.00
loop_
_atom_site_label
_atom_site_type_symbol
_atom_site_fract_x
_atom_site_fract_y
_atom_site_fract_z
Gd1 Gd 0.0000 0.0000 0.0000
Y1 Y 0.5000 0.5000 0.5000
Pu1 Pu 0.2500 0.2500 0.2500
Pu2 Pu 0.7500 0.7500 0.7500
```

Output
As for the space group: No. 225.

---

What are the relative energies? In meV per atom: model w 0; model x 95.

---

Model w:
Material: GdY2Pu
Method: DFT, PBE-GGA
State: optimized geometry

```
data_GdY2Pu
_chemical_formula_sum 'Gd1 Y2 Pu1'
_space_group_name_H-M_alt 'P 1'
_space_group_IT_number 1
_space_group_name_Hall 'P 1'
_cell_length_a 3.5485
_cell_length_b 3.5485
_cell_length_c 9.9443
_cell_angle_alpha 90.00
_cell_angle_beta 90.00
_cell_angle_gamma 90.00
loop_
_atom_site_label
_atom_site_type_symbol
_atom_site_fract_x
_atom_site_fract_y
_atom_site_fract_z
Gd1 Gd 0.0000 0.0000 0.0000
Y1 Y 0.5000 0.5000 0.2576
Y2 Y 0.5000 0.5000 0.7424
Pu1 Pu 0.0000 0.0000 0.5000
```

Output
As for the space group: No. 123.

---

Model x:
Material: GdY2Pu
Method: DFT, PBE-GGA
State: optimized geometry

```
data_GdY2Pu
_chemical_formula_sum 'Gd1 Y2 Pu1'
_space_group_name_H-M_alt 'P 1'
_space_group_IT_number 1
_space_group_name_Hall 'P 1'
_cell_length_a 5.7680
_cell_length_b 5.7680
_cell_length_c 3.7805
_cell_angle_alpha 90.00
_cell_angle_beta 90.00
_cell_angle_gamma 90.00
loop_
_atom_site_label
_atom_site_type_symbol
_atom_site_fract_x
_atom_site_fract_y
_atom_site_fract_z
Gd1 Gd 0.0000 0.0000 0.0000
Y1 Y 0.0000 0.5000 0.5000
Y2 Y 0.5000 0.0000 0.5000
Pu1 Pu 0.5000 0.5000 0.0000
```

Output
As for the space group: No. 123.

---

What are the relative energies? In meV per atom: model w 0; model x 76.

---

Model w:
Material: GdY2Pu
Method: DFT, PBE-GGA
State: optimized geometry

```
data_GdY2Pu
_chemical_formula_sum 'Gd1 Y2 Pu1'
_space_group_name_H-M_alt 'P 1'
_space_group_IT_number 1
_space_group_name_Hall 'P 1'
_cell_length_a 12.4157
_cell_length_b 12.4157
_cell_length_c 12.4157
_cell_angle_alpha 16.04
_cell_angle_beta 16.04
_cell_angle_gamma 16.04
loop_
_atom_site_label
_atom_site_type_symbol
_atom_site_fract_x
_atom_site_fract_y
_atom_site_fract_z
Gd1 Gd 0.0000 0.0000 0.0000
Y1 Y 0.4118 0.4118 0.4118
Y2 Y 0.5882 0.5882 0.5882
Pu1 Pu 0.5000 0.5000 0.5000
```

Output
As for the space group: No. 166.

---

Model x:
Material: GdY2Pu
Method: DFT, PBE-GGA
State: optimized geometry

```
data_GdY2Pu
_chemical_formula_sum 'Gd1 Y2 Pu1'
_space_group_name_H-M_alt 'P 1'
_space_group_IT_number 1
_space_group_name_Hall 'P 1'
_cell_length_a 5.6274
_cell_length_b 5.6274
_cell_length_c 5.6274
_cell_angle_alpha 60.00
_cell_angle_beta 60.00
_cell_angle_gamma 60.00
loop_
_atom_site_label
_atom_site_type_symbol
_atom_site_fract_x
_atom_site_fract_y
_atom_site_fract_z
Gd1 Gd 0.0000 0.0000 0.0000
Y1 Y 0.2500 0.2500 0.2500
Y2 Y 0.7500 0.7500 0.7500
Pu1 Pu 0.5000 0.5000 0.5000
```

Output
As for the space group: No. 225.

---

What are the relative energies? In meV per atom: model w 69; model x 0.